--- i ---
VASP calculation (PBE) on a relaxed Ba2InSb2 crystal.

Fermi-level density of states = 0.538 states/eV/atom
Magnetization = 0.0 μB per formula unit
SG = P4/mbm, No. 127

Structure (CIF):
```
data_Ba2InSb2
_chemical_formula_sum 'Ba4 In2 Sb4'
_cell_length_a 8.666
_cell_length_b 8.666
_cell_length_c 5.016
_cell_angle_alpha 90.00
_cell_angle_beta 90.00
_cell_angle_gamma 90.00
_space_group_name_H-M_alt 'P 1'
_space_group_IT_number 1
loop_
_space_group_symop_operation_xyz
'x,y,z'
loop_
_atom_site_label
_atom_site_fract_x
_atom_site_fract_y
_atom_site_fract_z
_atom_site_occupancy
Ba1 0.179 0.321 0.000 1
Ba2 0.321 0.821 0.000 1
Ba3 0.679 0.179 0.000 1
Ba4 0.821 0.679 0.000 1
In1 0.000 0.000 0.500 1
In2 0.500 0.500 0.500 1
Sb1 0.118 0.618 0.500 1
Sb2 0.382 0.118 0.500 1
Sb3 0.618 0.882 0.500 1
Sb4 0.882 0.382 0.500 1
```


--- ii ---
VASP calculation (PBE) on a relaxed Ba2InSb2 crystal.

Fermi-level density of states = 1.003 states/eV/atom
Magnetization = 0.6 μB per formula unit
SG = I4/mmm, No. 139

Structure (CIF):
```
data_Ba2InSb2
_chemical_formula_sum 'Ba4 In2 Sb4'
_cell_length_a 4.401
_cell_length_b 4.401
_cell_length_c 20.408
_cell_angle_alpha 90.00
_cell_angle_beta 90.00
_cell_angle_gamma 90.00
_space_group_name_H-M_alt 'P 1'
_space_group_IT_number 1
loop_
_space_group_symop_operation_xyz
'x,y,z'
loop_
_atom_site_label
_atom_site_fract_x
_atom_site_fract_y
_atom_site_fract_z
_atom_site_occupancy
Ba1 0.000 0.000 0.110 1
Ba2 0.000 0.000 0.890 1
Ba3 0.500 0.500 0.390 1
Ba4 0.500 0.500 0.610 1
In1 0.000 0.000 0.500 1
In2 0.500 0.500 0.000 1
Sb1 0.000 0.500 0.250 1
Sb2 0.000 0.500 0.750 1
Sb3 0.500 0.000 0.250 1
Sb4 0.500 0.000 0.750 1
```


--- iii ---
VASP calculation (PBE) on a relaxed Ba2InSb2 crystal.

Fermi-level density of states = 0.376 states/eV/atom
Magnetization = 0.0 μB per formula unit
SG = Cmc2_1, No. 36

Structure (CIF):
```
data_Ba2InSb2
_chemical_formula_sum 'Ba4 In2 Sb4'
_cell_length_a 9.423
_cell_length_b 9.423
_cell_length_c 9.265
_cell_angle_alpha 90.00
_cell_angle_beta 90.00
_cell_angle_gamma 149.89
_space_group_name_H-M_alt 'P 1'
_space_group_IT_number 1
loop_
_space_group_symop_operation_xyz
'x,y,z'
loop_
_atom_site_label
_atom_site_fract_x
_atom_site_fract_y
_atom_site_fract_z
_atom_site_occupancy
Ba1 0.036 0.964 0.500 1
Ba2 0.200 0.800 0.861 1
Ba3 0.800 0.200 0.361 1
Ba4 0.964 0.036 0.000 1
In1 0.408 0.592 0.645 1
In2 0.592 0.408 0.145 1
Sb1 0.174 0.826 0.236 1
Sb2 0.443 0.557 0.289 1
Sb3 0.557 0.443 0.789 1
Sb4 0.826 0.174 0.736 1
```


--- iv ---
VASP calculation (PBE) on a relaxed Ba2InSb2 crystal.

Fermi-level density of states = 0.286 states/eV/atom
Magnetization = 0.0 μB per formula unit
SG = P4/mbm, No. 127

Structure (CIF):
```
data_Ba2InSb2
_chemical_formula_sum 'Ba4 In2 Sb4'
_cell_length_a 9.979
_cell_length_b 9.979
_cell_length_c 3.940
_cell_angle_alpha 90.00
_cell_angle_beta 90.00
_cell_angle_gamma 90.00
_space_group_name_H-M_alt 'P 1'
_space_group_IT_number 1
loop_
_space_group_symop_operation_xyz
'x,y,z'
loop_
_atom_site_label
_atom_site_fract_x
_atom_site_fract_y
_atom_site_fract_z
_atom_site_occupancy
Ba1 0.134 0.366 0.000 1
Ba2 0.366 0.866 0.000 1
Ba3 0.634 0.134 0.000 1
Ba4 0.866 0.634 0.000 1
In1 0.000 0.000 0.000 1
In2 0.500 0.500 0.000 1
Sb1 0.167 0.667 0.500 1
Sb2 0.333 0.167 0.500 1
Sb3 0.667 0.833 0.500 1
Sb4 0.833 0.333 0.500 1
```


Going by the energies, iii is most stable and the next is 2.3 kJ/mol of atoms up.


--- i ---
VASP calculation (PBE) on a relaxed BaInSb crystal.

Fermi-level density of states = 0.484 states/eV/atom
Magnetization = 0.0 μB per formula unit
SG = F-43m, No. 216

Structure (CIF):
```
data_BaInSb
_chemical_formula_sum 'Ba4 In4 Sb4'
_cell_length_a 7.762
_cell_length_b 7.762
_cell_length_c 7.762
_cell_angle_alpha 90.00
_cell_angle_beta 90.00
_cell_angle_gamma 90.00
_space_group_name_H-M_alt 'P 1'
_space_group_IT_number 1
loop_
_space_group_symop_operation_xyz
'x,y,z'
loop_
_atom_site_label
_atom_site_fract_x
_atom_site_fract_y
_atom_site_fract_z
_atom_site_occupancy
Ba1 0.000 0.000 0.000 1
Ba2 0.000 0.500 0.500 1
Ba3 0.500 0.000 0.500 1
Ba4 0.500 0.500 0.000 1
In1 0.250 0.250 0.250 1
In2 0.250 0.750 0.750 1
In3 0.750 0.250 0.750 1
In4 0.750 0.750 0.250 1
Sb1 0.000 0.000 0.500 1
Sb2 0.000 0.500 0.000 1
Sb3 0.500 0.000 0.000 1
Sb4 0.500 0.500 0.500 1
```


--- ii ---
VASP calculation (PBE) on a relaxed BaInSb crystal.

Fermi-level density of states = 0.030 states/eV/atom
Magnetization = 0.0 μB per formula unit
SG = Cm, No. 8

Structure (CIF):
```
data_BaInSb
_chemical_formula_sum 'Ba4 In4 Sb4'
_cell_length_a 12.806
_cell_length_b 5.010
_cell_length_c 7.117
_cell_angle_alpha 90.00
_cell_angle_beta 108.25
_cell_angle_gamma 90.00
_space_group_name_H-M_alt 'P 1'
_space_group_IT_number 1
loop_
_space_group_symop_operation_xyz
'x,y,z'
loop_
_atom_site_label
_atom_site_fract_x
_atom_site_fract_y
_atom_site_fract_z
_atom_site_occupancy
Ba1 0.000 0.000 0.000 1
Ba2 0.135 0.500 0.571 1
Ba3 0.500 0.500 0.000 1
Ba4 0.635 0.000 0.571 1
In1 0.342 0.000 0.123 1
In2 0.412 0.500 0.455 1
In3 0.842 0.500 0.123 1
In4 0.912 0.000 0.455 1
Sb1 0.205 0.500 0.106 1
Sb2 0.345 0.000 0.665 1
Sb3 0.705 0.000 0.106 1
Sb4 0.845 0.500 0.665 1
```


--- iii ---
VASP calculation (PBE) on a relaxed BaInSb crystal.

Fermi-level density of states = 0.203 states/eV/atom
Magnetization = 0.0 μB per formula unit
SG = C2/m, No. 12

Structure (CIF):
```
data_BaInSb
_chemical_formula_sum 'Ba4 In4 Sb4'
_cell_length_a 13.741
_cell_length_b 4.801
_cell_length_c 7.101
_cell_angle_alpha 90.00
_cell_angle_beta 91.70
_cell_angle_gamma 90.00
_space_group_name_H-M_alt 'P 1'
_space_group_IT_number 1
loop_
_space_group_symop_operation_xyz
'x,y,z'
loop_
_atom_site_label
_atom_site_fract_x
_atom_site_fract_y
_atom_site_fract_z
_atom_site_occupancy
Ba1 0.151 0.000 0.244 1
Ba2 0.349 0.500 0.756 1
Ba3 0.651 0.500 0.244 1
Ba4 0.849 0.000 0.756 1
In1 0.042 0.500 0.701 1
In2 0.458 0.000 0.299 1
In3 0.542 0.000 0.701 1
In4 0.958 0.500 0.299 1
Sb1 0.163 0.000 0.748 1
Sb2 0.337 0.500 0.252 1
Sb3 0.663 0.500 0.748 1
Sb4 0.837 0.000 0.252 1
```


--- iv ---
VASP calculation (PBE) on a relaxed BaInSb crystal.

Fermi-level density of states = 0.676 states/eV/atom
Magnetization = 0.0 μB per formula unit
SG = I4mm, No. 107

Structure (CIF):
```
data_BaInSb
_chemical_formula_sum 'Ba2 In2 Sb2'
_cell_length_a 4.112
_cell_length_b 4.112
_cell_length_c 12.114
_cell_angle_alpha 90.00
_cell_angle_beta 90.00
_cell_angle_gamma 90.00
_space_group_name_H-M_alt 'P 1'
_space_group_IT_number 1
loop_
_space_group_symop_operation_xyz
'x,y,z'
loop_
_atom_site_label
_atom_site_fract_x
_atom_site_fract_y
_atom_site_fract_z
_atom_site_occupancy
Ba1 0.000 0.000 0.000 1
Ba2 0.500 0.500 0.500 1
In1 0.000 0.000 0.699 1
In2 0.500 0.500 0.199 1
Sb1 0.000 0.000 0.304 1
Sb2 0.500 0.500 0.804 1
```


Going by the energies, ii is most stable and the next is 1.8 kJ/mol of atoms up.


--- i ---
VASP calculation (PBE) on a relaxed BaInSb crystal.

Fermi-level density of states = 0.139 states/eV/atom
Magnetization = 0.0 μB per formula unit
SG = Cm, No. 8

Structure (CIF):
```
data_BaInSb
_chemical_formula_sum 'Ba4 In4 Sb4'
_cell_length_a 13.238
_cell_length_b 4.571
_cell_length_c 9.347
_cell_angle_alpha 90.00
_cell_angle_beta 129.42
_cell_angle_gamma 90.00
_space_group_name_H-M_alt 'P 1'
_space_group_IT_number 1
loop_
_space_group_symop_operation_xyz
'x,y,z'
loop_
_atom_site_label
_atom_site_fract_x
_atom_site_fract_y
_atom_site_fract_z
_atom_site_occupancy
Ba1 0.000 0.000 0.000 1
Ba2 0.080 0.000 0.616 1
Ba3 0.500 0.500 0.000 1
Ba4 0.580 0.500 0.616 1
In1 0.323 0.000 0.550 1
In2 0.354 0.000 0.241 1
In3 0.823 0.500 0.550 1
In4 0.854 0.500 0.241 1
Sb1 0.129 0.500 0.366 1
Sb2 0.223 0.500 0.987 1
Sb3 0.629 0.000 0.366 1
Sb4 0.723 0.000 0.987 1
```


--- ii ---
VASP calculation (PBE) on a relaxed BaInSb crystal.

Fermi-level density of states = 0.162 states/eV/atom
Magnetization = 0.0 μB per formula unit
SG = Pnma, No. 62

Structure (CIF):
```
data_BaInSb
_chemical_formula_sum 'Ba4 In4 Sb4'
_cell_length_a 8.492
_cell_length_b 5.251
_cell_length_c 10.218
_cell_angle_alpha 90.00
_cell_angle_beta 90.00
_cell_angle_gamma 90.00
_space_group_name_H-M_alt 'P 1'
_space_group_IT_number 1
loop_
_space_group_symop_operation_xyz
'x,y,z'
loop_
_atom_site_label
_atom_site_fract_x
_atom_site_fract_y
_atom_site_fract_z
_atom_site_occupancy
Ba1 0.135 0.250 0.164 1
Ba2 0.365 0.750 0.664 1
Ba3 0.635 0.250 0.336 1
Ba4 0.865 0.750 0.836 1
In1 0.011 0.750 0.430 1
In2 0.489 0.250 0.930 1
In3 0.511 0.750 0.070 1
In4 0.989 0.250 0.570 1
Sb1 0.154 0.250 0.824 1
Sb2 0.346 0.750 0.324 1
Sb3 0.654 0.250 0.676 1
Sb4 0.846 0.750 0.176 1
```


--- iii ---
VASP calculation (PBE) on a relaxed BaInSb crystal.

Fermi-level density of states = 0.311 states/eV/atom
Magnetization = 0.0 μB per formula unit
SG = Pnma, No. 62

Structure (CIF):
```
data_BaInSb
_chemical_formula_sum 'Ba4 In4 Sb4'
_cell_length_a 8.099
_cell_length_b 4.598
_cell_length_c 11.561
_cell_angle_alpha 90.00
_cell_angle_beta 90.00
_cell_angle_gamma 90.00
_space_group_name_H-M_alt 'P 1'
_space_group_IT_number 1
loop_
_space_group_symop_operation_xyz
'x,y,z'
loop_
_atom_site_label
_atom_site_fract_x
_atom_site_fract_y
_atom_site_fract_z
_atom_site_occupancy
Ba1 0.035 0.250 0.193 1
Ba2 0.465 0.750 0.693 1
Ba3 0.535 0.250 0.307 1
Ba4 0.965 0.750 0.807 1
In1 0.154 0.250 0.574 1
In2 0.346 0.750 0.074 1
In3 0.654 0.250 0.926 1
In4 0.846 0.750 0.426 1
Sb1 0.227 0.750 0.408 1
Sb2 0.273 0.250 0.908 1
Sb3 0.727 0.750 0.092 1
Sb4 0.773 0.250 0.592 1
```


Going by the energies, ii is most stable and the next is 6.2 kJ/mol of atoms up.